The following is a DFT calculation (GGA-PBE) of a geometry-optimized SrZn2Si structure.

Crystal system = orthorhombic
Energy = -2.43 eV/atom
Formation energy from raw total energies = -0.06 eV per formula unit
Symmetry = Imm2 (44)
Calculated volume = 23.26 Å³ per atom

a b c (Å): 5.1539 5.1539 5.1539
angles (deg): 129.57 111.38 89.90
With the nearest neighbours (Å) after each atom.
Fractional coordinates of all 4 atoms:
Sr: 0.0000 0.0000 0.0000  4 Si 3.14-3.23, 5 Zn 3.17-3.38
Zn: 0.3144 0.8144 0.5000  2 Zn 2.73, 1 Si 2.76
Zn: 0.5362 0.5362 0.0000  2 Si 2.48, 2 Zn 2.73
Si: 0.6930 0.1930 0.5000  3 Zn 2.48-2.76

The following is a DFT calculation (GGA-PBE) of a geometry-optimized Tm3MgSc3Se8 structure.

Crystal system = trigonal
Energy = -5.78 eV/atom
Formation energy from raw total energies = -24.87 eV per formula unit
Symmetry = R-3m (166)
Calculated volume = 22.96 Å³ per atom

a b c (Å): 7.8798 7.8798 7.8798
angles (deg): 59.80 59.80 59.80
With the nearest neighbours (Å) after each atom.
Fractional coordinates of all 15 atoms:
Tm: 0.0000 0.5000 0.5000  6 Se 2.82
Tm: 0.5000 0.0000 0.5000  6 Se 2.82
Tm: 0.5000 0.5000 0.0000  6 Se 2.82
Mg: 0.5000 0.5000 0.5000  6 Se 2.76
Sc: 0.0000 0.0000 0.5000  6 Se 2.75
Sc: 0.0000 0.5000 0.0000  6 Se 2.75
Sc: 0.5000 0.0000 0.0000  6 Se 2.75
Se: 0.2458 0.7480 0.7480  2 Sc 2.75, 1 Mg 2.76, 2 Tm 2.82
Se: 0.2467 0.2467 0.2467  3 Sc 2.75, 3 Tm 2.82
Se: 0.2520 0.2520 0.7542  2 Sc 2.75, 1 Mg 2.76, 2 Tm 2.82
Se: 0.2520 0.7542 0.2520  2 Sc 2.75, 1 Mg 2.76, 2 Tm 2.82
Se: 0.7480 0.2458 0.7480  2 Sc 2.75, 1 Mg 2.76, 2 Tm 2.82
Se: 0.7480 0.7480 0.2458  2 Sc 2.75, 1 Mg 2.76, 2 Tm 2.82
Se: 0.7533 0.7533 0.7533  3 Sc 2.75, 3 Tm 2.82
Se: 0.7542 0.2520 0.2520  2 Sc 2.75, 1 Mg 2.76, 2 Tm 2.82

The following is a DFT calculation (GGA-PBE) of a geometry-optimized Mg2Mn2Al structure.

Crystal system = tetragonal
Energy = -4.86 eV/atom
ΔH_f (0 K) = 194 meV per atom
Symmetry = P4/mbm (127)
Calculated volume = 16.78 Å³ per atom

a b c (Å): 6.2948 6.2948 4.2351
angles (deg): 90.00 90.00 90.00
With the nearest neighbours (Å) after each atom.
Fractional coordinates of all 10 atoms:
Mg: 0.1699 0.3301 0.0000  6 Mn 2.79-2.83, 1 Mg 3.02
Mg: 0.3301 0.8301 0.0000  6 Mn 2.79-2.83, 1 Mg 3.02
Mg: 0.6699 0.1699 0.0000  6 Mn 2.79-2.83, 1 Mg 3.02
Mg: 0.8301 0.6699 0.0000  6 Mn 2.79-2.83, 1 Mg 3.02
Mn: 0.1261 0.6261 0.5000  1 Mn 2.24, 2 Al 2.48
Mn: 0.3739 0.1261 0.5000  1 Mn 2.24, 2 Al 2.48
Mn: 0.6261 0.8739 0.5000  1 Mn 2.24, 2 Al 2.48
Mn: 0.8739 0.3739 0.5000  1 Mn 2.24, 2 Al 2.48
Al: 0.0000 0.0000 0.5000  4 Mn 2.48
Al: 0.5000 0.5000 0.5000  4 Mn 2.48

The following is a DFT calculation (GGA-PBE) of a geometry-optimized Sc3Se structure.

Crystal system = orthorhombic
Energy = -6.14 eV/atom
Formation energy from raw total energies = -2.07 eV per formula unit
Excess energy over the best structure of this formula in the dataset = 286 meV/atom
Symmetry = Pmm2 (25)
Calculated volume = 24.44 Å³ per atom

a b c (Å): 3.4030 3.4226 8.3951
angles (deg): 90.00 90.00 90.00
With the nearest neighbours (Å) after each atom.
Fractional coordinates of all 4 atoms:
Sc: 0.0000 0.0000 0.0000  2 Se 2.77
Sc: 0.0000 0.5000 0.4100  4 Se 2.72
Sc: 0.5000 0.5000 0.7420  10 Sc 3.24-3.42
Se: 0.5000 0.0000 0.2607  6 Sc 2.72-2.77

The following is a DFT calculation (GGA-PBE) of a geometry-optimized BaAl4 structure.

Crystal system = cubic
Energy = -2.20 eV/atom
ΔH_f (0 K) = 1182 meV per atom
Excess energy over the best structure of this formula in the dataset = 1420 meV/atom
Symmetry = Im-3m (229)
Calculated volume = 35.85 Å³ per atom

a b c (Å): 6.1521 6.1521 6.1521
angles (deg): 109.47 109.47 109.47
With the nearest neighbours (Å) after each atom.
Fractional coordinates of all 5 atoms:
Ba: 0.0000 0.0000 0.0000  8 Al 3.08
Al: 0.0000 0.0000 0.5000  2 Ba 3.08
Al: 0.0000 0.5000 0.0000  2 Ba 3.08
Al: 0.5000 0.0000 0.0000  2 Ba 3.08
Al: 0.5000 0.5000 0.5000  2 Ba 3.08

The following is a DFT calculation (GGA-PBE) of a geometry-optimized ZnSn3O structure.

Crystal system = cubic
Energy = -3.78 eV/atom
Formation energy from raw total energies = -0.66 eV per formula unit
Excess energy over the best structure of this formula in the dataset = 0 meV/atom
Symmetry = Pm-3m (221)
Calculated volume = 22.47 Å³ per atom

a b c (Å): 4.8251 4.8251 4.8251
angles (deg): 90.00 90.00 90.00
With the nearest neighbours (Å) after each atom.
Fractional coordinates of all 5 atoms:
Zn: 0.0000 0.0000 0.0000  12 Sn 3.41
Sn: 0.0000 0.5000 0.5000  2 O 2.41
Sn: 0.5000 0.0000 0.5000  2 O 2.41
Sn: 0.5000 0.5000 0.0000  2 O 2.41
O: 0.5000 0.5000 0.5000  6 Sn 2.41

The following is a DFT calculation (GGA-PBE) of a geometry-optimized KTl2HBr4 structure.

Crystal system = monoclinic
Energy = -2.80 eV/atom
Symmetry = C2/c (15)
Calculated volume = 39.58 Å³ per atom

a b c (Å): 9.4058 9.4058 9.8946
angles (deg): 121.40 121.40 79.30
With the nearest neighbours (Å) after each atom.
Fractional coordinates of all 16 atoms:
K: 0.0000 0.5000 0.0000  2 Br 3.05
K: 0.5000 0.0000 0.5000  2 Br 3.05
Tl: 0.0000 0.0000 0.0000  4 Br 3.20
Tl: 0.0000 0.0000 0.5000  4 Br 3.20
Tl: 0.0000 0.5000 0.5000  2 Br 3.09
Tl: 0.5000 0.0000 0.0000  2 Br 3.09
H: 0.5000 0.5000 0.0000  2 Br 1.74
H: 0.5000 0.5000 0.5000  2 Br 1.74
Br: 0.1887 0.1925 0.9385  1 K 3.05, 3 Tl 3.09-3.20
Br: 0.1925 0.1887 0.4385  1 K 3.05, 3 Tl 3.09-3.20
Br: 0.3549 0.6454 0.9997  1 H 1.74
Br: 0.3546 0.6451 0.5003  1 H 1.74
Br: 0.6451 0.3546 0.0003  1 H 1.74
Br: 0.6454 0.3549 0.4997  1 H 1.74
Br: 0.8075 0.8113 0.5615  1 K 3.05, 3 Tl 3.09-3.20
Br: 0.8113 0.8075 0.0615  1 K 3.05, 3 Tl 3.09-3.20

The following is a DFT calculation (GGA-PBE) of a geometry-optimized Sr2Sn6Au structure.

Crystal system = orthorhombic
Energy = -3.80 eV/atom
ΔH_f (0 K) = -392 meV per atom
Symmetry = Amm2 (38)
Calculated volume = 29.71 Å³ per atom

a b c (Å): 4.6701 12.7985 12.7985
angles (deg): 20.46 90.00 90.00
With the nearest neighbours (Å) after each atom.
Fractional coordinates of all 9 atoms:
Sr: 0.0000 0.0000 0.0000  10 Sn 3.39-3.57
Sr: 0.0000 0.3380 0.3380  4 Au 3.51, 10 Sn 3.54-3.92
Sn: 0.0000 0.6051 0.6051  5 Sn 2.92-3.26
Sn: 0.0000 0.7211 0.7211  2 Au 2.85, 1 Sn 2.92
Sn: 0.5000 0.1031 0.1031  5 Sn 2.91-3.26
Sn: 0.5000 0.2187 0.2187  2 Au 2.83, 1 Sn 2.91
Sn: 0.5000 0.4628 0.4628  2 Sn 2.88
Sn: 0.5000 0.8927 0.8927  1 Au 2.69, 2 Sn 2.88
Au: 0.5000 0.7859 0.7859  5 Sn 2.69-2.85

The following is a DFT calculation (GGA-PBE) of a geometry-optimized TiSe3I structure.

Crystal system = cubic
Energy = -4.18 eV/atom
Formation energy from raw total energies = -1.02 eV per formula unit
Excess energy over the best structure of this formula in the dataset = 0 meV/atom
Symmetry = Pm-3m (221)
Calculated volume = 25.14 Å³ per atom

a b c (Å): 5.0096 5.0096 5.0096
angles (deg): 90.00 90.00 90.00
With the nearest neighbours (Å) after each atom.
Fractional coordinates of all 5 atoms:
Ti: 0.0000 0.0000 0.0000  6 Se 2.50
Se: 0.0000 0.0000 0.5000  2 Ti 2.50
Se: 0.0000 0.5000 0.0000  2 Ti 2.50
Se: 0.5000 0.0000 0.0000  2 Ti 2.50
I: 0.5000 0.5000 0.5000  12 Se 3.54

The following is a DFT calculation (GGA-PBE) of a geometry-optimized InNi2P structure.

Crystal system = cubic
Energy = -4.83 eV/atom
ΔH_f (0 K) = 100 meV per atom
Symmetry = Fm-3m (225)
Calculated volume = 13.93 Å³ per atom

a b c (Å): 4.2872 4.2872 4.2872
angles (deg): 60.00 60.00 60.00
With the nearest neighbours (Å) after each atom.
Fractional coordinates of all 4 atoms:
In: 0.0000 0.0000 0.0000  8 Ni 2.63
Ni: 0.2500 0.2500 0.2500  4 In 2.63, 4 P 2.63
Ni: 0.7500 0.7500 0.7500  4 In 2.63, 4 P 2.63
P: 0.5000 0.5000 0.5000  8 Ni 2.63

The following is a DFT calculation (GGA-PBE) of a geometry-optimized ZrCdMo2 structure.

Crystal system = orthorhombic
Energy = -7.42 eV/atom
ΔH_f (0 K) = 357 meV per atom
Symmetry = Cmmm (65)
Calculated volume = 18.31 Å³ per atom

a b c (Å): 5.4628 5.4628 2.7171
angles (deg): 90.00 90.00 115.43
With the nearest neighbours (Å) after each atom.
Fractional coordinates of all 4 atoms:
Zr: 0.0000 0.0000 0.0000  2 Zr 2.72, 2 Cd 2.92
Cd: 0.5000 0.5000 0.0000  2 Cd 2.72, 2 Zr 2.92
Mo: 0.0000 0.5000 0.5000  4 Mo 2.72-2.92
Mo: 0.5000 0.0000 0.5000  4 Mo 2.72-2.92

The following is a DFT calculation (GGA-PBE) of a geometry-optimized CeHo4Tl5 structure.

Crystal system = tetragonal
Energy = -3.91 eV/atom
ΔH_f (0 K) = -307 meV per atom
Symmetry = P4/mmm (123)
Calculated volume = 27.54 Å³ per atom

a b c (Å): 3.7348 3.7348 19.7427
angles (deg): 90.00 90.00 90.00
With the nearest neighbours (Å) after each atom.
Fractional coordinates of all 10 atoms:
Ce: 0.0000 0.0000 0.0000  8 Tl 3.39, 4 Ce 3.73
Ho: 0.0000 0.0000 0.2060  8 Tl 3.27-3.28
Ho: 0.0000 0.0000 0.4023  8 Tl 3.27
Ho: 0.0000 0.0000 0.5977  8 Tl 3.27
Ho: 0.0000 0.0000 0.7940  8 Tl 3.27-3.28
Tl: 0.5000 0.5000 0.1080  4 Ho 3.27, 4 Ce 3.39
Tl: 0.5000 0.5000 0.3047  8 Ho 3.27-3.28
Tl: 0.5000 0.5000 0.5000  8 Ho 3.27
Tl: 0.5000 0.5000 0.6953  8 Ho 3.27-3.28
Tl: 0.5000 0.5000 0.8920  4 Ho 3.27, 4 Ce 3.39

The following is a DFT calculation (GGA-PBE) of a geometry-optimized ZrCF3 structure.

Crystal system = cubic
Energy = -5.96 eV/atom
Formation energy from raw total energies = -6.40 eV per formula unit
Excess energy over the best structure of this formula in the dataset = 0 meV/atom
Symmetry = Pm-3m (221)
Calculated volume = 14.85 Å³ per atom

a b c (Å): 4.2035 4.2035 4.2035
angles (deg): 90.00 90.00 90.00
With the nearest neighbours (Å) after each atom.
Fractional coordinates of all 5 atoms:
Zr: 0.0000 0.0000 0.0000  6 F 2.10
C: 0.5000 0.5000 0.5000  12 F 2.97
F: 0.0000 0.0000 0.5000  2 Zr 2.10
F: 0.0000 0.5000 0.0000  2 Zr 2.10
F: 0.5000 0.0000 0.0000  2 Zr 2.10

The following is a DFT calculation (GGA-PBE) of a geometry-optimized Ba2Zn4Ga3Si structure.

Crystal system = tetragonal
Energy = -2.64 eV/atom
Formation energy from raw total energies = -2.99 eV per formula unit
Symmetry = P-4m2 (115)
Calculated volume = 22.29 Å³ per atom

a b c (Å): 4.5148 4.5148 10.9334
angles (deg): 90.00 90.00 90.00
With the nearest neighbours (Å) after each atom.
Fractional coordinates of all 10 atoms:
Ba: 0.0000 0.5000 0.2470  8 Zn 3.46-3.57, 6 Ga 3.47-3.52, 2 Si 3.52
Ba: 0.5000 0.0000 0.7530  8 Zn 3.46-3.57, 6 Ga 3.47-3.52, 2 Si 3.52
Zn: 0.0000 0.0000 0.5000  4 Ga 2.66
Zn: 0.0000 0.5000 0.8753  2 Si 2.64, 3 Ga 2.64-2.70
Zn: 0.5000 0.0000 0.1247  2 Si 2.64, 3 Ga 2.64-2.70
Zn: 0.5000 0.5000 0.5000  4 Ga 2.66
Ga: 0.0000 0.0000 0.0000  4 Zn 2.64
Ga: 0.0000 0.5000 0.6283  5 Zn 2.66-2.70
Ga: 0.5000 0.0000 0.3717  5 Zn 2.66-2.70
Si: 0.5000 0.5000 0.0000  4 Zn 2.64